1.
# AsSeIBr2

AsSeIBr2 after structural relaxation (PBEsol, Alexandria via LeMat-Bulk).

Cell lengths 5.028, 5.028, 5.502 Å; angles 90.00, 90.00, 90.00 degrees
Fractional coordinates of all 5 atoms:
1 As 0.000 0.000 0.000
2 Se 0.000 0.000 0.500
3 I 0.500 0.500 0.500
4 Br 0.000 0.500 0.000
5 Br 0.500 0.000 0.000

Properties
D(E_F) = 0.74 states/eV per atom
Formation energy from raw total energies = 15 kJ per mole of atoms
Mass density = 5.26 g cm⁻³
Electronic total energy = -2.73 eV per atom

---

2.
# SiAsIBr2

SiAsIBr2 after structural relaxation (PBEsol, Alexandria via LeMat-Bulk).

Cell lengths 4.838, 4.838, 5.413 Å; angles 90.00, 90.00, 90.00 degrees
Fractional coordinates of all 5 atoms:
1 Si 0.000 0.000 0.000
2 As 0.000 0.000 0.500
3 I 0.500 0.500 0.500
4 Br 0.000 0.500 0.000
5 Br 0.500 0.000 0.000

Properties
D(E_F) = 0.49 states/eV per atom
Formation energy from raw total energies = 15 kJ per mole of atoms
Mass density = 5.11 g cm⁻³
Electronic total energy = -3.11 eV per atom

---

3.
# TeAsI2Br

TeAsI2Br after structural relaxation (PBEsol, Alexandria via LeMat-Bulk).

Cell lengths 5.720, 5.720, 5.607 Å; angles 90.00, 90.00, 90.00 degrees
Fractional coordinates of all 5 atoms:
1 Te 0.000 0.000 0.000
2 As 0.500 0.500 0.000
3 I 0.000 0.500 0.500
4 I 0.500 0.000 0.500
5 Br 0.000 0.000 0.500

Properties
D(E_F) = 1.12 states/eV per atom
Formation energy from raw total energies = 91 kJ per mole of atoms
Mass density = 4.85 g cm⁻³
Electronic total energy = -1.86 eV per atom